Below is a relaxed structure of CoBN2F, with properties calculated at the PBE with a Hubbard U level.

Cell: 3.625 3.625 4.322 Å, 90.00 90.00 90.00°
Space group P4/mmm (No. 123)
Asymmetric unit:
1 Co 0.000 0.000 0.000 (multiplicity 1)
2 B 0.500 0.500 0.500 (multiplicity 1)
3 N 0.000 0.500 0.000 (multiplicity 2)
4 F 0.000 0.000 0.500 (multiplicity 1)

Computed properties:
The calculation puts the volume at 57 Å³ per cell. The calculation puts the distance to the lowest polymorph of the same formula at 1084 meV per atom.